A plane-wave DFT calculation with GGA-PBE was carried out for crystalline K2DyAg2Se4 at its relaxed geometry.

a b c (Å): 15.542 4.153 8.079
angles (deg): 90.00 109.45 90.00
Space group C2/m (No. 12)
Asymmetric unit:
K1 0.130 0.000 0.065
Dy1 0.000 0.000 0.500
Ag1 0.179 0.500 0.482
Se1 0.010 0.500 0.258
Se2 0.197 0.000 0.700

Computed properties:
**E_form (uncorrected)**: -98.0 kJ per mole of atoms
**V**: 491.78 Å³/cell